Entry 1:
# Pr6SnTe3P2

A relaxed Pr6SnTe3P2 crystal (PBE, the Alexandria database).

Cell: 9.9841 9.9841 8.9921 Å, 104.47 104.47 25.33°
Sites, in units of the cell vectors:
Pr1 0.0107 0.0107 0.2513
Pr2 0.3247 0.3247 0.4353
Pr3 0.3328 0.3328 0.8900
Pr4 0.6672 0.6672 0.1100
Pr5 0.6753 0.6753 0.5647
Pr6 0.9893 0.9893 0.7487
Sn1 0.5000 0.5000 0.0000
Te1 0.1637 0.1637 0.8315
Te2 0.5000 0.5000 0.5000
Te3 0.8363 0.8363 0.1685
P1 0.1690 0.1690 0.3367
P2 0.8310 0.8310 0.6633

Summary:
- formation energy from raw total energies (kJ/mol of formula units) = -1627
- crystal system = monoclinic
- energy (eV/cell) = -69.8

Entry 2:
# MnAl3Fe2

A relaxed MnAl3Fe2 crystal (PBE, the Alexandria database).

Cell: 2.8824 2.8824 8.8092 Å, 90.00 90.00 90.00°
Sites, in units of the cell vectors:
Mn1 0.0000 0.0000 0.0000
Al1 0.5000 0.5000 0.1816
Al2 0.5000 0.5000 0.5000
Al3 0.5000 0.5000 0.8184
Fe1 0.0000 0.0000 0.3367
Fe2 0.0000 0.0000 0.6633

Summary:
- crystal system = tetragonal
- energy (eV/cell) = -39.1
- formation energy from the elements (eV/atom) = -0.305

Entry 3:
# Na2Cd2Sn

A relaxed Na2Cd2Sn crystal (PBE, the Alexandria database).

Cell: 6.1486 6.1486 8.5629 Å, 105.52 105.52 60.67°
Sites, in units of the cell vectors:
Na1 0.0337 0.2887 0.1449
Na2 0.2887 0.0337 0.6449
Na3 0.7113 0.9663 0.3551
Na4 0.9663 0.7113 0.8551
Cd1 0.2368 0.5099 0.5198
Cd2 0.4901 0.7632 0.9802
Cd3 0.5099 0.2368 0.0198
Cd4 0.7632 0.4901 0.4802
Sn1 0.2828 0.7172 0.2500
Sn2 0.7172 0.2828 0.7500

Summary:
- crystal system = monoclinic
- energy (eV/cell) = -18.4
- polymorph energy (0 for the lowest one) (meV/atom) = 0
- formation energy from the elements (eV/atom) = -0.146

Entry 4:
# Sm3Si11Pt23

A relaxed Sm3Si11Pt23 crystal (PBE, the Alexandria database).

Cell: 12.0352 12.0352 12.0352 Å, 60.00 60.00 60.00°
Sites, in units of the cell vectors:
Sm1 0.0000 0.0000 0.5000
Sm2 0.0000 0.5000 0.0000
Sm3 0.0000 0.5000 0.5000
Sm4 0.5000 0.0000 0.0000
Sm5 0.5000 0.0000 0.5000
Sm6 0.5000 0.5000 0.0000
Si1 0.1654 0.1654 0.1654
Si2 0.1654 0.1654 0.5038
Si3 0.1654 0.5038 0.1654
Si4 0.1711 0.1711 0.8289
Si5 0.1711 0.8289 0.1711
Si6 0.1711 0.8289 0.8289
Si7 0.1806 0.6065 0.6065
Si8 0.3935 0.3935 0.3935
Si9 0.3935 0.3935 0.8194
Si10 0.3935 0.8194 0.3935
Si11 0.4962 0.8346 0.8346
Si12 0.5038 0.1654 0.1654
Si13 0.6065 0.1806 0.6065
Si14 0.6065 0.6065 0.1806
Si15 0.6065 0.6065 0.6065
Si16 0.8194 0.3935 0.3935
Si17 0.8289 0.1711 0.1711
Si18 0.8289 0.1711 0.8289
Si19 0.8289 0.8289 0.1711
Si20 0.8346 0.4962 0.8346
Si21 0.8346 0.8346 0.4962
Si22 0.8346 0.8346 0.8346
Pt1 0.0751 0.3083 0.3083
Pt2 0.0829 0.0829 0.0829
Pt3 0.0829 0.0829 0.7513
Pt4 0.0828 0.4211 0.7480
Pt5 0.0828 0.7480 0.4211
Pt6 0.0828 0.7480 0.7480
Pt7 0.0829 0.7513 0.0829
Pt8 0.2487 0.9171 0.9171
Pt9 0.2520 0.2520 0.5789
Pt10 0.2520 0.2520 0.9172
Pt11 0.2520 0.5789 0.2520
Pt12 0.2520 0.5789 0.9172
Pt13 0.2520 0.9172 0.2520
Pt14 0.2520 0.9172 0.5789
Pt15 0.3083 0.0751 0.3083
Pt16 0.3083 0.3083 0.0751
Pt17 0.3083 0.3083 0.3083
Pt18 0.3742 0.3742 0.6258
Pt19 0.3742 0.6258 0.3742
Pt20 0.3742 0.6258 0.6258
Pt21 0.4211 0.0828 0.7480
Pt22 0.4211 0.7480 0.0828
Pt23 0.4211 0.7480 0.7480
Pt24 0.5789 0.2520 0.2520
Pt25 0.5789 0.2520 0.9172
Pt26 0.5789 0.9172 0.2520
Pt27 0.6258 0.3742 0.3742
Pt28 0.6258 0.3742 0.6258
Pt29 0.6258 0.6258 0.3742
Pt30 0.6917 0.6917 0.6917
Pt31 0.6917 0.6917 0.9249
Pt32 0.6917 0.9249 0.6917
Pt33 0.7480 0.0828 0.4211
Pt34 0.7480 0.0828 0.7480
Pt35 0.7480 0.4211 0.0828
Pt36 0.7480 0.4211 0.7480
Pt37 0.7480 0.7480 0.0828
Pt38 0.7480 0.7480 0.4211
Pt39 0.7513 0.0829 0.0829
Pt40 0.9171 0.2487 0.9171
Pt41 0.9172 0.2520 0.2520
Pt42 0.9172 0.2520 0.5789
Pt43 0.9172 0.5789 0.2520
Pt44 0.9171 0.9171 0.2487
Pt45 0.9171 0.9171 0.9171
Pt46 0.9249 0.6917 0.6917

Summary:
- formation energy from raw total energies (kJ/mol of formula units) = -3210
- crystal system = cubic
- energy (eV/cell) = -492.0

| no. | magnetization (μB/cell) |
| --- | --- |
| 1 | 0.0 |
| 2 | 3.2 |
| 3 | 0.0 |
| 4 | 0.0 |